1.
First-principles (GGA-PBE) data for a relaxed Cd2Pd5 crystal, as listed in Alexandria.

Cell: 5.7233 6.7678 7.6285 Å, 116.33 112.03 90.00°
Atoms (fractional coordinates):
Cd1 0.3908 0.6932 0.7817
Cd2 0.6092 0.3068 0.2183
Cd3 0.8908 0.0885 0.7817
Cd4 0.1092 0.9115 0.2183
Pd1 0.1164 0.3319 0.2328
Pd2 0.8836 0.6681 0.7672
Pd3 0.6164 0.9009 0.2328
Pd4 0.3836 0.0991 0.7672
Pd5 0.4788 0.7288 0.4577
Pd6 0.0212 0.2712 0.5423
Pd7 0.5212 0.2712 0.5423
Pd8 0.9788 0.7288 0.4577
Pd9 0.7500 0.5000 0.0000
Pd10 0.2500 0.5000 0.0000

## Properties
- space-group type = No. 72
- formation energy from the elements (eV per atom) = -0.224


2.
First-principles (GGA-PBE) data for a relaxed Cd8Pd crystal, as listed in Alexandria.

Cell: 3.2405 7.8440 7.8440 Å, 87.55 78.08 78.08°
Atoms (fractional coordinates):
Cd1 0.6561 0.0000 0.6878
Cd2 0.3439 0.0000 0.3122
Cd3 0.3334 0.6666 0.6666
Cd4 0.6561 0.6878 0.0000
Cd5 0.0000 0.6666 0.3334
Cd6 0.3439 0.3122 0.0000
Cd7 0.6666 0.3334 0.3334
Cd8 0.0000 0.3334 0.6666
Pd1 0.0000 0.0000 0.0000

## Properties
- space-group type = No. 139
- formation energy from the elements (eV per atom) = -0.047


3.
First-principles (GGA-PBE) data for a relaxed Cd8Pd3 crystal, as listed in Alexandria.

Cell: 3.4416 5.5189 12.1147 Å, 103.36 90.00 108.17°
Atoms (fractional coordinates):
Cd1 0.7171 0.4342 0.0907
Cd2 0.2829 0.5658 0.9093
Cd3 0.5408 0.0817 0.8252
Cd4 0.4592 0.9183 0.1748
Cd5 0.8039 0.6078 0.7091
Cd6 0.1961 0.3922 0.2909
Cd7 0.6256 0.2513 0.4713
Cd8 0.3744 0.7487 0.5287
Pd1 0.0000 0.0000 0.0000
Pd2 0.9217 0.8434 0.3471
Pd3 0.0783 0.1566 0.6529

## Properties
- space-group type = No. 12
- formation energy from the elements (eV per atom) = -0.238


4.
First-principles (GGA-PBE) data for a relaxed Cd3Pd5 crystal, as listed in Alexandria.

Cell: 4.2894 5.6507 5.6507 Å, 98.23 90.00 90.00°
Atoms (fractional coordinates):
Cd1 0.0000 0.5000 0.5000
Cd2 0.5000 0.7669 0.2331
Cd3 0.5000 0.2331 0.7669
Pd1 0.0000 0.0000 0.0000
Pd2 0.0000 0.5000 0.0000
Pd3 0.0000 0.0000 0.5000
Pd4 0.5000 0.7375 0.7375
Pd5 0.5000 0.2625 0.2625

## Properties
- space-group type = No. 65
- formation energy from the elements (eV per atom) = -0.343